# 1
The following is a PBE-GGA calculation of crystalline Ba5AcBi4 at its relaxed geometry, from Alexandria via LeMat-Bulk.

- VASP energy (eV/cell) = -74.6

```
data_Ba5AcBi4
_symmetry_space_group_name_H-M 'I m m m'
_symmetry_Int_Tables_number 71
_symmetry_space_group_name_Hall '-I 2 2'
_cell_length_a 5.321
_cell_length_b 12.097
_cell_length_c 14.093
_cell_angle_alpha 90.00
_cell_angle_beta 90.00
_cell_angle_gamma 90.00
loop_
_atom_site_label
_atom_site_type_symbol
_atom_site_fract_x
_atom_site_fract_y
_atom_site_fract_z
_atom_site_occupancy
Ba1 Ba 0.000 0.000 0.000 1
Ba2 Ba 0.000 0.311 0.166 1
Ac1 Ac 0.000 0.000 0.500 1
Bi1 Bi 0.000 0.000 0.258 1
Bi2 Bi 0.000 0.281 0.500 1
```



# 2
The following is a PBE-GGA calculation of crystalline Ba5AcBi5 at its relaxed geometry, from Alexandria via LeMat-Bulk.

- VASP energy (eV/cell) = -83.5

```
data_Ba5AcBi5
_symmetry_space_group_name_H-M 'C 1 2/m 1'
_symmetry_Int_Tables_number 12
_symmetry_space_group_name_Hall '-C 2y'
_cell_length_a 16.532
_cell_length_b 7.073
_cell_length_c 9.868
_cell_angle_alpha 90.00
_cell_angle_beta 107.77
_cell_angle_gamma 90.00
loop_
_atom_site_label
_atom_site_type_symbol
_atom_site_fract_x
_atom_site_fract_y
_atom_site_fract_z
_atom_site_occupancy
Ba1 Ba 0.000 0.000 0.000 1
Ba2 Ba 0.176 0.500 0.352 1
Ba3 Ba 0.182 0.500 0.824 1
Ac1 Ac 0.000 0.000 0.500 1
Bi1 Bi 0.000 0.500 0.500 1
Bi2 Bi 0.152 0.000 0.331 1
Bi3 Bi 0.160 0.000 0.827 1
```



# 3
The following is a PBE-GGA calculation of crystalline Ba5AcBi4 at its relaxed geometry, from Alexandria via LeMat-Bulk.

- VASP energy (eV/cell) = -74.6

```
data_Ba5AcBi4
_symmetry_space_group_name_H-M 'C 1 2/m 1'
_symmetry_Int_Tables_number 12
_symmetry_space_group_name_Hall '-C 2y'
_cell_length_a 22.586
_cell_length_b 5.222
_cell_length_c 9.483
_cell_angle_alpha 90.00
_cell_angle_beta 114.79
_cell_angle_gamma 90.00
loop_
_atom_site_label
_atom_site_type_symbol
_atom_site_fract_x
_atom_site_fract_y
_atom_site_fract_z
_atom_site_occupancy
Ba1 Ba 0.000 0.000 0.000 1
Ba2 Ba 0.167 0.500 0.423 1
Ba3 Ba 0.167 0.500 0.912 1
Ac1 Ac 0.000 0.000 0.500 1
Bi1 Bi 0.000 0.500 0.256 1
Bi2 Bi 0.189 0.000 0.690 1
```



Number 1: energy of formation from the pure elements -0.8038 eV/atom. Number 2: energy of formation from the pure elements -0.7832 eV/atom. Number 3: energy of formation from the pure elements -0.8048 eV/atom.